## LiCoMo2 (SCAN)

Data for a crystal of LiCoMo2 relaxed with PBEsol.

Cell: 4.6885 4.6885 4.6885 Å, 134.49 134.49 66.33°
With the nearest neighbours (Å) after each atom.
Atoms (fractional coordinates):
Li 0.0000 0.0000 0.0000  4 Co 2.56, 8 Mo 2.67
Co 0.5000 0.5000 0.0000  4 Li 2.56, 8 Mo 2.67
Mo 0.2500 0.7500 0.5000  4 Mo 2.56, 4 Co 2.67, 4 Li 2.67
Mo 0.7500 0.2500 0.5000  4 Mo 2.56, 4 Co 2.67, 4 Li 2.67

* ΔH_f (0 K): 0.352 eV per atom
* DFT total energy: -88.06 eV/cell
* excess energy over the best structure of this formula in the dataset: 0.000 eV/atom